No. 1
Entry from Alexandria via LeMat-Bulk: a relaxed structure of LiCrPdRh (PBE).

## Properties
**Total DFT energy (no corrections)**: -6.141 eV per atom

Unit cell a=4.245 b=4.245 c=4.245 alpha=60.00 beta=60.00 gamma=60.00
Positions (direct):
Li (0.000, 0.000, 0.000)
Cr (0.500, 0.500, 0.500)
Pd (0.250, 0.250, 0.250)
Rh (0.750, 0.750, 0.750)

No. 2
Entry from Alexandria via LeMat-Bulk: a relaxed structure of LiCrPdRu (PBE).

## Properties
**Total DFT energy (no corrections)**: -6.480 eV per atom

Unit cell a=4.216 b=4.216 c=4.216 alpha=60.00 beta=60.00 gamma=60.00
Positions (direct):
Li (0.000, 0.000, 0.000)
Cr (0.500, 0.500, 0.500)
Pd (0.750, 0.750, 0.750)
Ru (0.250, 0.250, 0.250)

No. 3
Entry from Alexandria via LeMat-Bulk: a relaxed structure of LiCrSbPd2 (PBE).

## Properties
**Total DFT energy (no corrections)**: -4.795 eV per atom

Unit cell a=5.025 b=5.025 c=5.084 alpha=90.00 beta=90.00 gamma=90.00
Positions (direct):
Li (0.000, 0.000, 0.000)
Cr (0.500, 0.500, 0.000)
Sb (0.500, 0.500, 0.500)
Pd (0.000, 0.500, 0.500)
Pd (0.500, 0.000, 0.500)

No. 4
Entry from Alexandria via LeMat-Bulk: a relaxed structure of LiCr2SbPd (PBE).

## Properties
**Total DFT energy (no corrections)**: -5.409 eV per atom

Unit cell a=5.075 b=5.075 c=4.969 alpha=90.00 beta=90.00 gamma=90.00
Positions (direct):
Li (0.000, 0.000, 0.000)
Cr (0.000, 0.500, 0.500)
Cr (0.500, 0.000, 0.500)
Sb (0.500, 0.500, 0.000)
Pd (0.500, 0.500, 0.500)